1.
The following is a DFT calculation (GGA-PBE) of an optimized crystal structure of Ac3Pm5Te12.

Unit cell a=16.3186 b=16.3186 c=16.3186 alpha=109.47 beta=109.47 gamma=109.47
Last column: nearest neighbours and their distance in Å.
Element x y z (fractional)
1 Ac 0.1250 0.2500 0.3750  8 Te 3.48-3.58
2 Ac 0.1250 0.3750 0.7500  8 Te 3.48-3.58
3 Ac 0.2500 0.3750 0.1250  8 Te 3.48-3.58
4 Ac 0.2500 0.8750 0.6250  8 Te 3.48-3.58
5 Ac 0.3750 0.1250 0.2500  8 Te 3.48-3.58
6 Ac 0.3750 0.7500 0.1250  8 Te 3.48-3.58
7 Ac 0.6250 0.2500 0.8750  8 Te 3.48-3.58
8 Ac 0.6250 0.8750 0.7500  8 Te 3.48-3.58
9 Ac 0.7500 0.1250 0.3750  8 Te 3.48-3.58
10 Ac 0.7500 0.6250 0.8750  8 Te 3.48-3.58
11 Ac 0.8750 0.6250 0.2500  8 Te 3.48-3.58
12 Ac 0.8750 0.7500 0.6250  8 Te 3.48-3.58
13 Pm 0.0000 0.0000 0.0000  6 Te 3.16
14 Pm 0.0000 0.0000 0.5000  6 Te 3.16
15 Pm 0.0000 0.5000 0.0000  6 Te 3.16
16 Pm 0.0000 0.5000 0.5000  6 Te 3.16
17 Pm 0.1250 0.7500 0.8750  4 Te 2.97
18 Pm 0.1250 0.8750 0.2500  4 Te 2.97
19 Pm 0.2500 0.1250 0.8750  4 Te 2.97
20 Pm 0.2500 0.6250 0.3750  4 Te 2.97
21 Pm 0.3750 0.2500 0.6250  4 Te 2.97
22 Pm 0.3750 0.6250 0.7500  4 Te 2.97
23 Pm 0.5000 0.0000 0.0000  6 Te 3.16
24 Pm 0.5000 0.0000 0.5000  6 Te 3.16
25 Pm 0.5000 0.5000 0.0000  6 Te 3.16
26 Pm 0.5000 0.5000 0.5000  6 Te 3.16
27 Pm 0.6250 0.3750 0.2500  4 Te 2.97
28 Pm 0.6250 0.7500 0.3750  4 Te 2.97
29 Pm 0.7500 0.3750 0.6250  4 Te 2.97
30 Pm 0.7500 0.8750 0.1250  4 Te 2.97
31 Pm 0.8750 0.1250 0.7500  4 Te 2.97
32 Pm 0.8750 0.2500 0.1250  4 Te 2.97
33 Te 0.0462 0.2202 0.1292  2 Pm 2.97-3.16
34 Te 0.0462 0.3260 0.9170  2 Pm 2.97-3.16
35 Te 0.0830 0.6292 0.4090  2 Pm 2.97-3.16
36 Te 0.0830 0.9538 0.6740  2 Pm 2.97-3.16
37 Te 0.0910 0.7202 0.6740  2 Pm 2.97-3.16
38 Te 0.0910 0.8708 0.4170  2 Pm 2.97-3.16
39 Te 0.1292 0.0462 0.2202  2 Pm 2.97-3.16
40 Te 0.1292 0.5830 0.9090  2 Pm 2.97-3.16
41 Te 0.1740 0.2202 0.5910  2 Pm 2.97-3.16
42 Te 0.1740 0.4538 0.5830  2 Pm 2.97-3.16
43 Te 0.2202 0.1292 0.0462  2 Pm 2.97-3.16
44 Te 0.2202 0.5910 0.1740  2 Pm 2.97-3.16
45 Te 0.2798 0.3260 0.9090  2 Pm 2.97-3.16
46 Te 0.2798 0.4538 0.3708  2 Pm 2.97-3.16
47 Te 0.3260 0.9090 0.2798  2 Pm 2.97-3.16
48 Te 0.3260 0.9170 0.0462  2 Pm 2.97-3.16
49 Te 0.3708 0.2798 0.4538  2 Pm 2.97-3.16
50 Te 0.3708 0.5910 0.9170  2 Pm 2.97-3.16
51 Te 0.4090 0.0830 0.6292  2 Pm 2.97-3.16
52 Te 0.4090 0.8260 0.7798  2 Pm 2.97-3.16
53 Te 0.4170 0.0910 0.8708  2 Pm 2.97-3.16
54 Te 0.4170 0.8260 0.5462  2 Pm 2.97-3.16
55 Te 0.4538 0.3708 0.2798  2 Pm 2.97-3.16
56 Te 0.4538 0.5830 0.1740  2 Pm 2.97-3.16
57 Te 0.5462 0.4170 0.8260  2 Pm 2.97-3.16
58 Te 0.5462 0.6292 0.7202  2 Pm 2.97-3.16
59 Te 0.5830 0.1740 0.4538  2 Pm 2.97-3.16
60 Te 0.5830 0.9090 0.1292  2 Pm 2.97-3.16
61 Te 0.5910 0.1740 0.2202  2 Pm 2.97-3.16
62 Te 0.5910 0.9170 0.3708  2 Pm 2.97-3.16
63 Te 0.6292 0.4090 0.0830  2 Pm 2.97-3.16
64 Te 0.6292 0.7202 0.5462  2 Pm 2.97-3.16
65 Te 0.6740 0.0830 0.9538  2 Pm 2.97-3.16
66 Te 0.6740 0.0910 0.7202  2 Pm 2.97-3.16
67 Te 0.7202 0.5462 0.6292  2 Pm 2.97-3.16
68 Te 0.7202 0.6740 0.0910  2 Pm 2.97-3.16
69 Te 0.7798 0.4090 0.8260  2 Pm 2.97-3.16
70 Te 0.7798 0.8708 0.9538  2 Pm 2.97-3.16
71 Te 0.8260 0.5462 0.4170  2 Pm 2.97-3.16
72 Te 0.8260 0.7798 0.4090  2 Pm 2.97-3.16
73 Te 0.8708 0.4170 0.0910  2 Pm 2.97-3.16
74 Te 0.8708 0.9538 0.7798  2 Pm 2.97-3.16
75 Te 0.9090 0.1292 0.5830  2 Pm 2.97-3.16
76 Te 0.9090 0.2798 0.3260  2 Pm 2.97-3.16
77 Te 0.9170 0.0462 0.3260  2 Pm 2.97-3.16
78 Te 0.9170 0.3708 0.5910  2 Pm 2.97-3.16
79 Te 0.9538 0.6740 0.0830  2 Pm 2.97-3.16
80 Te 0.9538 0.7798 0.8708  2 Pm 2.97-3.16



2.
The following is a DFT calculation (GGA-PBE) of an optimized crystal structure of MnPbBr2.

- distance to the lowest polymorph of the same formula (meV/atom) = 483
- Fermi-level density of states (states/eV per cell) = 2.39

Unit cell a=5.0224 b=5.0224 c=4.3248 alpha=90.00 beta=90.00 gamma=90.00
Last column: nearest neighbours and their distance in Å.
Element x y z (fractional)
1 Mn 0.0000 0.0000 0.0000  8 Br 3.31, 4 Pb 3.55
2 Pb 0.5000 0.5000 0.0000  8 Br 3.31, 4 Mn 3.55
3 Br 0.0000 0.5000 0.5000  4 Mn 3.31, 4 Pb 3.31, 4 Br 3.55
4 Br 0.5000 0.0000 0.5000  4 Mn 3.31, 4 Pb 3.31, 4 Br 3.55



Number 1: E_form (uncorrected) -1.334 eV/atom, calculated density 5.8 g/cm³, VASP energy -5.023 eV per atom. Number 2: E_form (uncorrected) 0.087 eV/atom, calculated density 6.4 g/cm³, VASP energy -3.969 eV per atom.